1.
Pm2DyZn (GGA-PBE, optimized geometry); space group = Fm-3m, No. 225; energy relative to the elements = 0.03 eV/atom; offset from the most stable computed form = 191 meV per atom
1.0
5.422 0.000 0.000
2.711 4.695 0.000
2.711 1.565 4.427
Pm Dy Zn
2 1 1
Cartesian
8.132 4.695 3.320
2.711 1.565 1.107
0.000 0.000 0.000
5.422 3.130 2.213



2.
CsTlSnF6 (GGA-PBE, optimized geometry); space group = C2, No. 5; ΔE_f (raw) = -2516 meV per atom
1.0
-3.924 -4.926 -2.258
2.570 -4.896 -3.766
1.071 -2.968 4.598
Tl Sn F Cs
1 1 6 1
Cartesian
-0.367 -8.027 -1.715
0.084 -4.759 0.291
0.486 -5.379 -1.582
-0.654 -6.596 0.656
0.852 -2.936 -0.089
-0.351 -4.152 2.161
1.933 -5.332 0.847
-1.760 -4.155 -0.246
1.071 -2.968 4.597



3.
KLa2Mn (GGA-PBE, optimized geometry); space group = P4/mmm, No. 123; energy relative to the elements = 0.27 eV/atom; offset from the most stable computed form = 0 meV per atom
1.0
-2.548 -2.524 -0.948
1.968 -2.633 1.719
-5.398 1.986 9.220
La K Mn
2 1 1
Cartesian
-2.217 0.816 3.787
-0.482 0.177 0.823
-4.338 -1.089 7.301
-1.639 -2.082 2.691



4.
SiSeSN (GGA-PBE, optimized geometry); space group = Cm, No. 8; ΔE_f (raw) = -63 meV per atom; offset from the most stable computed form = 74 meV per atom
1.0
6.785 0.000 0.001
0.000 2.869 0.000
-0.859 0.000 8.057
S Se Si N
2 2 2 2
Cartesian
4.542 0.000 4.349
4.971 1.435 0.320
1.026 0.000 7.296
1.455 1.435 3.267
3.254 0.000 2.466
2.825 1.435 6.495
3.911 1.435 1.609
3.482 0.000 5.638



5.
RbPt2W (GGA-PBE, optimized geometry); space group = I-42d, No. 122; energy relative to the elements = 0.75 eV/atom; offset from the most stable computed form = 0 meV per atom
1.0
-3.946 1.024 6.561
4.759 -4.886 3.625
2.719 1.012 6.025
Rb W Pt
2 2 4
Cartesian
3.942 -2.903 7.371
0.406 -1.931 5.093
-0.410 0.052 8.839
0.000 0.000 0.000
3.554 -2.775 3.938
3.225 -3.108 13.792
-1.585 0.384 6.713
1.870 -0.203 7.977



6.
LiNd2Tc (GGA-PBE, optimized geometry); space group = P4/mmm, No. 123; energy relative to the elements = 0.07 eV/atom
1.0
-0.436 0.996 -3.380
1.713 -2.916 -1.080
-7.112 -4.072 -0.283
Nd Tc Li
2 1 1
Cartesian
-5.646 -3.233 -0.225
-1.466 -0.839 -0.058
0.639 -0.960 -2.230
-2.918 -2.996 -2.372



7.
Pm3Nd4DyS8 (GGA-PBE, optimized geometry); space group = R-3m, No. 166; ΔE_f (raw) = -2020 meV per atom
1.0
-5.896 -1.409 5.322
5.514 -1.317 5.760
0.105 6.905 -4.169
Dy Nd Pm S
1 4 3 8
Cartesian
2.757 -0.658 2.880
0.000 0.000 0.000
0.052 3.452 -2.085
-2.948 -0.704 2.661
-2.896 2.748 0.576
-0.191 -1.363 5.541
-0.139 2.090 3.456
2.809 2.794 0.796
-0.248 4.850 4.124
-3.033 -1.389 5.500
2.702 2.051 3.537
-0.031 2.781 0.702
-2.980 2.128 3.376
-0.247 1.398 6.210
2.756 5.568 1.413
-0.029 -0.671 2.789



8.
Tm3AlAg2 (GGA-PBE, optimized geometry); space group = P4/mmm, No. 123; energy relative to the elements = -0.36 eV/atom
1.0
3.546 0.000 0.000
0.000 3.546 0.000
0.000 0.000 10.929
Tm Ag Al
3 2 1
Cartesian
0.000 0.000 3.654
0.000 0.000 0.000
0.000 0.000 7.275
1.773 1.773 1.865
1.773 1.773 9.064
1.773 1.773 5.464